{"formula": "SrAl2Cd", "functional": "PBE-GGA", "state": "optimized geometry", "spacegroup": "No. 122", "formation_enthalpy_0k_kj_per_mol_atoms": 5.02, "volume_a3_per_cell": 241.5, "cell": [[-2.524, 2.524, 9.476], [2.524, -2.524, 9.476], [2.524, 2.524, -9.476]], "species": ["Sr", "Sr", "Al", "Al", "Al", "Al", "Cd", "Cd"], "frac_coords": [[0.000, 0.000, 0.000], [0.750, 0.250, 0.500], [0.317, 0.625, 0.192], [0.375, 0.567, 0.692], [0.433, 0.125, 0.808], [0.875, 0.683, 0.308], [0.250, 0.750, 0.500], [0.500, 0.500, 0.000]]}

{"formula": "Sr2AlCd", "functional": "PBE-GGA", "state": "optimized geometry", "spacegroup": "No. 11", "formation_enthalpy_0k_kj_per_mol_atoms": -16.99, "volume_a3_per_cell": 264.4, "cell": [[4.083, 0.000, 0.000], [0.000, 5.201, 0.000], [-2.009, 0.000, 12.452]], "species": ["Sr", "Sr", "Sr", "Sr", "Al", "Al", "Cd", "Cd"], "frac_coords": [[0.056, 0.250, 0.108], [0.198, 0.750, 0.397], [0.802, 0.250, 0.603], [0.944, 0.750, 0.892], [0.340, 0.750, 0.681], [0.660, 0.250, 0.319], [0.411, 0.250, 0.824], [0.589, 0.750, 0.176]]}

{"formula": "Sr8AlCd2", "functional": "PBE-GGA", "state": "optimized geometry", "spacegroup": "No. 8", "formation_enthalpy_0k_kj_per_mol_atoms": -7.88, "volume_a3_per_cell": 491.3, "cell": [[5.014, -7.687, 0.000], [5.014, 7.687, 0.000], [-2.395, 0.000, 6.374]], "species": ["Sr", "Sr", "Sr", "Sr", "Sr", "Sr", "Sr", "Sr", "Al", "Cd", "Cd"], "frac_coords": [[0.000, 0.000, 0.000], [0.025, 0.279, 0.572], [0.144, 0.564, 0.184], [0.279, 0.025, 0.572], [0.440, 0.693, 0.775], [0.564, 0.144, 0.184], [0.693, 0.440, 0.775], [0.712, 0.712, 0.372], [0.354, 0.354, 0.354], [0.053, 0.674, 0.688], [0.674, 0.053, 0.688]]}

{"formula": "Sr6AlCd5", "functional": "PBE-GGA", "state": "optimized geometry", "spacegroup": "No. 71", "formation_enthalpy_0k_kj_per_mol_atoms": -28.22, "volume_a3_per_cell": 397.3, "cell": [[-2.856, 4.061, 8.564], [2.856, -4.061, 8.564], [2.856, 4.061, -8.564]], "species": ["Sr", "Sr", "Sr", "Sr", "Sr", "Sr", "Al", "Cd", "Cd", "Cd", "Cd", "Cd"], "frac_coords": [[0.083, 0.335, 0.748], [0.245, 0.000, 0.245], [0.412, 0.665, 0.748], [0.588, 0.335, 0.252], [0.755, 0.000, 0.755], [0.917, 0.665, 0.252], [0.000, 0.500, 0.500], [0.167, 0.167, 0.000], [0.335, 0.835, 0.500], [0.500, 0.500, 0.000], [0.665, 0.165, 0.500], [0.833, 0.833, 0.000]]}

{"formula": "SrAl2Cd", "functional": "PBE-GGA", "state": "optimized geometry", "spacegroup": "No. 10", "formation_enthalpy_0k_kj_per_mol_atoms": -2.19, "volume_a3_per_cell": 104.9, "cell": [[3.761, 0.000, 0.000], [0.000, 4.783, 0.000], [-0.011, 0.000, 5.830]], "species": ["Sr", "Al", "Al", "Cd"], "frac_coords": [[0.000, 0.000, 0.000], [0.499, 0.500, 0.750], [0.501, 0.500, 0.250], [0.500, 0.000, 0.500]]}

{"formula": "SrAl3Cd", "functional": "PBE-GGA", "state": "optimized geometry", "spacegroup": "No. 12", "formation_enthalpy_0k_kj_per_mol_atoms": -12.38, "volume_a3_per_cell": 237.9, "cell": [[12.350, -2.195, 0.000], [12.350, 2.195, 0.000], [-0.750, 0.000, 4.389]], "species": ["Sr", "Sr", "Al", "Al", "Al", "Al", "Al", "Al", "Cd", "Cd"], "frac_coords": [[0.087, 0.087, 0.331], [0.913, 0.913, 0.669], [0.212, 0.212, 0.988], [0.286, 0.286, 0.555], [0.474, 0.474, 0.226], [0.526, 0.526, 0.774], [0.714, 0.714, 0.445], [0.788, 0.788, 0.012], [0.361, 0.361, 0.126], [0.639, 0.639, 0.874]]}

{"formula": "Sr4AlCd", "functional": "PBE-GGA", "state": "optimized geometry", "spacegroup": "No. 123", "formation_enthalpy_0k_kj_per_mol_atoms": -15.44, "polymorph_energy_ev_per_atom": 0.000, "volume_a3_per_cell": 235.8, "cell": [[4.057, 0.000, 0.000], [0.000, 4.057, 0.000], [0.000, 0.000, 14.326]], "species": ["Sr", "Sr", "Sr", "Sr", "Al", "Cd"], "frac_coords": [[0.000, 0.000, 0.130], [0.000, 0.000, 0.870], [0.500, 0.500, 0.361], [0.500, 0.500, 0.639], [0.500, 0.500, 0.000], [0.000, 0.000, 0.500]]}

{"formula": "SrAl2Cd", "functional": "PBE-GGA", "state": "optimized geometry", "spacegroup": "No. 99", "formation_enthalpy_0k_kj_per_mol_atoms": -6.67, "volume_a3_per_cell": 97.1, "cell": [[3.560, 0.000, 0.000], [0.000, 3.560, 0.000], [0.000, 0.000, 7.661]], "species": ["Sr", "Al", "Al", "Cd"], "frac_coords": [[0.000, 0.000, 0.000], [0.000, 0.000, 0.474], [0.500, 0.500, 0.300], [0.500, 0.500, 0.690]]}

{"formula": "SrAlCd3", "functional": "PBE-GGA", "state": "optimized geometry", "spacegroup": "No. 221", "formation_enthalpy_0k_kj_per_mol_atoms": 83.40, "polymorph_energy_ev_per_atom": 1.092, "volume_a3_per_cell": 241.0, "cell": [[6.223, 0.000, 0.000], [0.000, 6.223, 0.000], [0.000, 0.000, 6.223]], "species": ["Sr", "Al", "Cd", "Cd", "Cd"], "frac_coords": [[0.000, 0.000, 0.000], [0.500, 0.500, 0.500], [0.000, 0.000, 0.500], [0.000, 0.500, 0.000], [0.500, 0.000, 0.000]]}

{"formula": "SrAl2Cd2", "functional": "PBE-GGA", "state": "optimized geometry", "spacegroup": "No. 127", "formation_enthalpy_0k_kj_per_mol_atoms": 2.25, "volume_a3_per_cell": 239.8, "cell": [[8.536, 0.000, 0.000], [0.000, 8.536, 0.000], [0.000, 0.000, 3.291]], "species": ["Sr", "Sr", "Al", "Al", "Al", "Al", "Cd", "Cd", "Cd", "Cd"], "frac_coords": [[0.000, 0.000, 0.000], [0.500, 0.500, 0.000], [0.171, 0.329, 0.500], [0.329, 0.829, 0.500], [0.671, 0.171, 0.500], [0.829, 0.671, 0.500], [0.127, 0.627, 0.000], [0.373, 0.127, 0.000], [0.627, 0.873, 0.000], [0.873, 0.373, 0.000]]}

{"formula": "Sr5AlCd4", "functional": "PBE-GGA", "state": "optimized geometry", "spacegroup": "No. 123", "formation_enthalpy_0k_kj_per_mol_atoms": -27.58, "volume_a3_per_cell": 329.0, "cell": [[4.030, 0.000, 0.000], [0.000, 4.030, 0.000], [0.000, 0.000, 20.261]], "species": ["Sr", "Sr", "Sr", "Sr", "Sr", "Al", "Cd", "Cd", "Cd", "Cd"], "frac_coords": [[0.000, 0.000, 0.000], [0.000, 0.000, 0.203], [0.000, 0.000, 0.406], [0.000, 0.000, 0.594], [0.000, 0.000, 0.797], [0.500, 0.500, 0.500], [0.500, 0.500, 0.101], [0.500, 0.500, 0.306], [0.500, 0.500, 0.694], [0.500, 0.500, 0.899]]}

{"formula": "SrAl2Cd", "functional": "PBE-GGA", "state": "optimized geometry", "spacegroup": "No. 5", "formation_enthalpy_0k_kj_per_mol_atoms": -2.03, "volume_a3_per_cell": 96.8, "cell": [[3.568, -3.677, 0.000], [3.568, 3.677, 0.000], [-3.257, 0.000, 3.688]], "species": ["Sr", "Al", "Al", "Cd"], "frac_coords": [[0.000, 0.000, 0.000], [0.268, 0.732, 0.500], [0.486, 0.514, 0.000], [0.731, 0.269, 0.500]]}